(1)
The following is a DFT calculation (PBE-GGA) of a relaxed Ru2PbO6 crystal.

a b c (Å): 5.3350 5.3350 5.0790
angles (deg): 90.00 90.00 120.00
Fractional coordinates of all 9 atoms:
1 O 0.0000 0.3830 0.7043
2 Ru 0.3333 0.6667 0.5000
3 O 0.6170 0.6170 0.7043
4 Pb 0.0000 0.0000 0.0000
5 Ru 0.6667 0.3333 0.5000
6 O 0.3830 0.3830 0.2957
7 O 0.3830 0.0000 0.7043
8 O 0.6170 0.0000 0.2957
9 O 0.0000 0.6170 0.2957

Calculated values
V   13.9 A^3/atom
D(E_F)   0.4449 states/eV/atom
Energy relative to the elements, uncorrected   -94.1 kJ per mole of atoms
Energy   -60.79 eV for the cell shown

(2)
The following is a DFT calculation (PBE-GGA) of a relaxed AlHgI2 crystal.

a b c (Å): 8.9565 8.9565 8.9446
angles (deg): 59.96 59.96 90.00
Fractional coordinates of all 8 atoms:
1 I 0.3850 0.1250 0.2500
2 Hg 0.7500 0.2500 0.5000
3 I 0.8750 0.6350 0.7500
4 Al 0.5000 0.5000 0.0000
5 Al 0.2500 0.7500 0.5000
6 Hg 0.0000 0.0000 0.0000
7 I 0.3650 0.6250 0.2500
8 I 0.3750 0.6150 0.7500

Calculated values
V   63.3 A^3/atom
Offset from the most stable computed form   0 meV/atom
D(E_F)   0.0009 states/eV/atom
Energy relative to the elements, uncorrected   -20.9 kJ per mole of atoms
Energy   -16.03 eV for the cell shown

(3)
The following is a DFT calculation (PBE-GGA) of a relaxed KScPaSe4 crystal.

a b c (Å): 9.1275 8.4349 8.4446
angles (deg): 120.04 90.00 122.76
Fractional coordinates of all 14 atoms:
1 Se 0.7421 0.4841 0.2805
2 K 0.9041 0.8081 0.1541
3 Se 0.6895 0.9912 0.7456
4 K 0.0959 0.1919 0.8459
5 Sc 0.5000 0.0000 0.5000
6 Se 0.2579 0.5159 0.7195
7 Sc 0.5000 0.0000 0.0000
8 Se 0.7421 0.4841 0.7036
9 Se 0.6983 0.0088 0.2544
10 Se 0.3017 0.9912 0.7456
11 Se 0.3105 0.0088 0.2544
12 Pa 0.0000 0.5000 0.5000
13 Se 0.2579 0.5159 0.2964
14 Pa 0.5000 0.5000 0.5000

Calculated values
V   31.4 A^3/atom
D(E_F)   0.7561 states/eV/atom
Energy relative to the elements, uncorrected   -138.0 kJ per mole of atoms
Energy   -81.75 eV for the cell shown

(4)
The following is a DFT calculation (PBE-GGA) of a relaxed Sr2LiInRh crystal.

a b c (Å): 6.2579 4.9693 6.2579
angles (deg): 90.00 90.00 90.00
Fractional coordinates of all 5 atoms:
1 Rh 0.0000 0.5000 0.0000
2 In 0.0000 0.0000 0.0000
3 Sr 0.0000 0.0000 0.5000
4 Sr 0.5000 0.0000 0.0000
5 Li 0.5000 0.5000 0.5000

Calculated values
V   38.9 A^3/atom
Offset from the most stable computed form   449 meV/atom
DFT formation energy   1.22 eV per formula unit
D(E_F)   0.8867 states/eV/atom
Energy   -14.15 eV for the cell shown

(5)
The following is a DFT calculation (PBE-GGA) of a relaxed Pm4Si3Ru crystal.

a b c (Å): 4.3871 3.9116 10.9646
angles (deg): 90.00 90.00 90.00
Fractional coordinates of all 8 atoms:
1 Pm 0.0000 0.0000 0.1346
2 Si 0.5000 0.0000 0.9336
3 Si 0.0000 0.0000 0.4323
4 Pm 0.5000 0.0000 0.6418
5 Pm 0.5000 0.5000 0.3557
6 Pm 0.0000 0.5000 0.8580
7 Ru 0.5000 0.5000 0.0720
8 Si 0.0000 0.5000 0.5720

Calculated values
V   23.5 A^3/atom
D(E_F)   0.7858 states/eV/atom
Energy relative to the elements, uncorrected   -63.1 kJ per mole of atoms
Energy   -49.78 eV for the cell shown

(6)
The following is a DFT calculation (PBE-GGA) of a relaxed BaErW2N6 crystal.

a b c (Å): 6.6233 7.8418 7.8418
angles (deg): 88.21 73.97 73.97
Fractional coordinates of all 20 atoms:
1 W 0.3295 0.7807 0.6236
2 N 0.1241 0.6108 0.1866
3 N 0.3700 0.3047 0.3683
4 N 0.3759 0.8134 0.3892
5 N 0.8759 0.3892 0.8134
6 N 0.2963 0.2583 0.9991
7 N 0.1300 0.6317 0.6953
8 Er 0.2500 0.2812 0.7188
9 N 0.2037 0.0009 0.7417
10 W 0.8295 0.6236 0.7807
11 N 0.7963 0.9991 0.2583
12 N 0.6300 0.6953 0.6317
13 Ba 0.2500 0.8999 0.1001
14 W 0.6705 0.2193 0.3764
15 N 0.8700 0.3683 0.3047
16 W 0.1705 0.3764 0.2193
17 Er 0.7500 0.7188 0.2812
18 N 0.6241 0.1866 0.6108
19 Ba 0.7500 0.1001 0.8999
20 N 0.7037 0.7417 0.0009

Calculated values
V   18.8 A^3/atom
D(E_F)   0.5009 states/eV/atom
Energy relative to the elements, uncorrected   -62.7 kJ per mole of atoms
Energy   -177.68 eV for the cell shown

(7)
The following is a DFT calculation (PBE-GGA) of a relaxed Nd2ScGe crystal.

a b c (Å): 4.6262 4.7098 4.7098
angles (deg): 90.00 90.00 90.00
Fractional coordinates of all 4 atoms:
1 Sc 0.5000 0.0000 0.0000
2 Nd 0.0000 0.0000 0.5000
3 Ge 0.5000 0.5000 0.5000
4 Nd 0.0000 0.5000 0.0000

Calculated values
V   25.7 A^3/atom
Offset from the most stable computed form   0 meV/atom
DFT formation energy   -1.33 eV per formula unit
D(E_F)   0.9341 states/eV/atom
Energy   -21.81 eV for the cell shown

(8)
The following is a DFT calculation (PBE-GGA) of a relaxed Tb2Y6Th crystal.

a b c (Å): 3.5997 3.5997 26.2990
angles (deg): 90.00 90.00 120.00
Fractional coordinates of all 9 atoms:
1 Tb 0.6667 0.3333 0.3287
2 Y 0.3333 0.6667 0.4355
3 Y 0.3333 0.6667 0.5645
4 Y 0.3333 0.6667 0.7807
5 Y 0.6667 0.3333 0.1102
6 Tb 0.6667 0.3333 0.6713
7 Y 0.6667 0.3333 0.8898
8 Y 0.3333 0.6667 0.2193
9 Th 0.3333 0.6667 0.0000

Calculated values
V   32.8 A^3/atom
Offset from the most stable computed form   0 meV/atom
DFT formation energy   0.52 eV per formula unit
D(E_F)   1.9502 states/eV/atom
Energy   -54.94 eV for the cell shown